First-principles (PBE) data for a geometry-optimized SrSc4Cd structure, as listed in Alexandria via LeMat-Bulk.

Summary:
Magnetization in μB/cell: 0.00
Symmetry: F-43m
ΔH_f (0 K) in kJ/mol of atoms: 24.1

Unit cell a=6.2008 b=6.2008 c=6.2008 alpha=60.00 beta=60.00 gamma=60.00
Closest atoms and distances in Å follow each position.
Atoms (fractional coordinates):
Sr 0.0000 0.0000 0.0000  12 Sc 3.64, 4 Cd 3.80
Sc 0.3765 0.3765 0.3765  6 Sc 3.06-3.14
Sc 0.3765 0.3765 0.8706  6 Sc 3.06-3.14
Sc 0.3765 0.8706 0.3765  6 Sc 3.06-3.14
Sc 0.8706 0.3765 0.3765  6 Sc 3.06-3.14
Cd 0.7500 0.7500 0.7500  12 Sc 3.63, 4 Sr 3.80